This record from the Alexandria database describes a geometry-optimized Si3SnIr structure. The functional is GGA-PBE.

Properties
ρ in g/cm³: 6.26
Raw formation energy in eV/atom: 0.387
DOS(E_F) in states/eV/atom: 0.914
Polymorph energy (0 for the lowest one) in meV per atom: 0

Cell: 4.7142 4.7142 4.7142 Å, 90.00 90.00 90.00°
Closest atoms and distances in Å follow each position.
Positions (direct):
Si  0.0000  0.5000  0.0000  2 Ir 2.36
Si  0.0000  0.0000  0.5000  2 Ir 2.36
Si  0.5000  0.0000  0.0000  2 Ir 2.36
Ir  0.0000  0.0000  0.0000  6 Si 2.36
Sn  0.5000  0.5000  0.5000  12 Si 3.33